1.
{"formula": "Pt3RhI", "functional": "meta-GGA SCAN", "state": "single point on PBEsol structure", "rho_g_cm3": 12.1, "dos_at_fermi_per_ev_atom": 0.2870, "m_tot_mub_per_cell": 1.92, "final_energy_ev_per_atom": -54.70, "sg": "Pm-3m (221)", "lattice_angstrom": [[-3.192, 1.443, 3.307], [-3.509, -2.273, -2.395], [0.843, -3.996, 2.556]], "species": ["I", "Rh", "Pt", "Pt", "Pt"], "fractional_positions": [[0.000, 0.000, 0.000], [0.500, 0.500, 0.500], [0.000, 0.500, 0.000], [0.000, 0.000, 0.500], [0.500, 0.000, 0.000]]}

2.
{"formula": "TbPd", "functional": "meta-GGA SCAN", "state": "single point on PBEsol structure", "rho_g_cm3": 10.2, "ef_mev_per_atom": -1008, "dos_at_fermi_per_ev_atom": 0.5654, "m_tot_mub_per_cell": 0.00, "sg": "Cmcm (63)", "lattice_angstrom": [[3.666, 0.000, 0.000], [0.000, 4.521, 0.000], [-1.833, 0.000, 5.193]], "species": ["Tb", "Tb", "Pd", "Pd"], "fractional_positions": [[0.862, 0.750, 0.725], [0.138, 0.250, 0.275], [0.586, 0.750, 0.172], [0.414, 0.250, 0.828]]}